Below is crystalline Sm2Dy3Er6Tm at its relaxed geometry, with properties calculated at the PBE level.

Cell lengths 6.116, 6.116, 11.694 Å; angles 94.99, 94.99, 119.95 degrees
Sites, in units of the cell vectors:
1 Er 0.249 0.249 0.749
2 Er 0.583 0.916 0.749
3 Tm 0.000 0.000 0.000
4 Dy 0.166 0.834 0.500
5 Er 0.417 0.084 0.251
6 Er 0.916 0.583 0.749
7 Dy 0.500 0.500 0.500
8 Sm 0.667 0.333 0.000
9 Er 0.084 0.417 0.251
10 Sm 0.333 0.667 0.000
11 Er 0.751 0.751 0.251
12 Dy 0.834 0.166 0.500

Summary:
Total magnetization ... 0.00 μB per atom
ΔE_f ... 0.019 eV/atom